--- 1 ---
{
  "formula": "BePSe2",
  "functional": "PBE",
  "state": "optimized geometry",
  "lattice": [[7.514, -0.065, -0.050], [5.557, 5.069, 0.019], [-6.409, -2.855, 2.281]],
  "species": ["P", "Be", "Se", "Se"],
  "fractional_positions": [[0.250, 0.750, 0.500], [0.750, 0.250, 0.500], [0.877, 0.877, 0.004], [0.623, 0.623, 0.996]],
  "dos_ef_per_ev_cell": 0.94
}



--- 2 ---
{
  "formula": "BePSe2",
  "functional": "PBE",
  "state": "optimized geometry",
  "lattice": [[3.170, 0.012, 0.000], [-1.487, 2.800, 0.000], [0.000, 0.000, 8.829]],
  "species": ["Be", "Se", "Se", "P"],
  "fractional_positions": [[0.000, 0.000, 0.516], [0.000, 0.000, 0.922], [0.500, 0.500, 0.354], [0.500, 0.500, 0.708]],
  "dos_ef_per_ev_cell": 1.78
}



--- 3 ---
{
  "formula": "BePSe2",
  "functional": "PBE",
  "state": "optimized geometry",
  "lattice": [[8.943, 0.117, 0.000], [7.573, 4.757, 0.000], [-8.258, -2.437, 2.419]],
  "species": ["Be", "Se", "Se", "P"],
  "fractional_positions": [[0.500, 0.500, 0.000], [0.000, 0.000, 0.000], [0.250, 0.750, 0.500], [0.750, 0.250, 0.500]],
  "dos_ef_per_ev_cell": 1.56
}



Which structure is the most stable? The one labeled 1.



--- 1 ---
{
  "formula": "Be2SiP",
  "functional": "PBE",
  "state": "optimized geometry",
  "lattice": [[3.790, 0.002, 0.002], [-1.837, 4.911, 0.001], [-0.067, -1.319, 5.734]],
  "species": ["P", "P", "Be", "Be", "Be", "Be", "Si", "Si"],
  "fractional_positions": [[0.039, 0.718, 0.776], [0.889, 0.015, 0.300], [0.451, 0.534, 0.610], [0.610, 0.344, 0.872], [0.299, 0.835, 0.138], [0.951, 0.627, 0.386], [0.002, 0.141, 0.712], [0.342, 0.418, 0.210]],
  "dos_ef_per_ev_cell": 0.54
}



--- 2 ---
{
  "formula": "Be2SiP",
  "functional": "PBE",
  "state": "optimized geometry",
  "lattice": [[4.016, 0.000, 0.000], [2.008, 3.478, 0.000], [2.008, 1.159, 3.279]],
  "species": ["Be", "Be", "P", "Si"],
  "fractional_positions": [[0.000, 0.000, 0.000], [0.250, 0.250, 0.250], [0.500, 0.500, 0.500], [0.750, 0.750, 0.750]],
  "dos_ef_per_ev_cell": 1.80
}



Which structure is the most stable? The one labeled 1.



--- 1 ---
{
  "formula": "BeSiP3",
  "functional": "PBE",
  "state": "optimized geometry",
  "lattice": [[-1.039, -3.992, 0.977], [0.374, -1.095, -4.078], [4.092, -0.913, 0.621]],
  "species": ["P", "P", "P", "Si", "Be"],
  "fractional_positions": [[0.500, 0.000, 0.000], [0.000, 0.500, 0.000], [0.000, 0.000, 0.500], [0.500, 0.500, 0.500], [0.000, 0.000, 0.000]],
  "dos_ef_per_ev_cell": 2.39
}



--- 2 ---
{
  "formula": "BeSiP3",
  "functional": "PBE",
  "state": "optimized geometry",
  "lattice": [[-3.302, 2.859, -0.950], [0.435, -0.942, -4.348], [-2.981, -3.304, 0.418]],
  "species": ["P", "P", "P", "Si", "Be"],
  "fractional_positions": [[0.000, 0.000, 0.500], [0.500, 0.000, 0.000], [0.000, 0.500, 0.000], [0.000, 0.000, 0.000], [0.500, 0.500, 0.500]],
  "dos_ef_per_ev_cell": 3.79
}



Which structure is the most stable? The one labeled 1.



--- 1 ---
{
  "formula": "BeSi2P",
  "functional": "PBE",
  "state": "optimized geometry",
  "lattice": [[-5.385, -1.161, 0.232], [-2.505, -4.911, -0.069], [4.025, 2.995, 2.285]],
  "species": ["Be", "Si", "Si", "P"],
  "fractional_positions": [[0.517, 0.517, 0.000], [0.994, 0.994, 0.000], [0.316, 0.816, 0.500], [0.674, 0.174, 0.500]],
  "dos_ef_per_ev_cell": 1.26
}



--- 2 ---
{
  "formula": "BeSi2P",
  "functional": "PBE",
  "state": "optimized geometry",
  "lattice": [[-3.193, -1.677, -3.819], [4.074, -0.223, -3.308], [1.316, -5.821, -2.157]],
  "species": ["Be", "Be", "Si", "Si", "Si", "Si", "P", "P"],
  "fractional_positions": [[0.250, 0.750, 0.500], [0.500, 0.500, 0.000], [0.142, 0.625, 0.250], [0.608, 0.125, 0.250], [0.375, 0.392, 0.750], [0.875, 0.858, 0.750], [0.750, 0.250, 0.500], [0.000, 0.000, 0.000]],
  "dos_ef_per_ev_cell": 4.56
}



--- 3 ---
{
  "formula": "BeSi2P",
  "functional": "PBE",
  "state": "optimized geometry",
  "lattice": [[4.655, 0.040, 0.000], [-1.532, 4.396, 0.000], [0.000, 0.000, 2.549]],
  "species": ["Si", "Si", "Be", "P"],
  "fractional_positions": [[0.500, 0.500, 0.000], [0.000, 0.000, 0.000], [0.500, 0.000, 0.500], [0.000, 0.500, 0.500]],
  "dos_ef_per_ev_cell": 0.84
}



Which structure is the most stable? The one labeled 2.



--- 1 ---
{
  "formula": "BeSi2P",
  "functional": "PBE",
  "state": "optimized geometry",
  "lattice": [[8.113, -0.156, -0.091], [7.704, 2.545, -0.091], [7.704, 1.164, 2.266]],
  "species": ["Si", "Si", "Be", "P"],
  "fractional_positions": [[0.506, 0.506, 0.506], [0.994, 0.994, 0.994], [0.250, 0.250, 0.250], [0.750, 0.750, 0.750]],
  "dos_ef_per_ev_cell": 0.99
}



--- 2 ---
{
  "formula": "BeSi2P",
  "functional": "PBE",
  "state": "optimized geometry",
  "lattice": [[-0.294, -0.577, -3.360], [-3.132, -1.206, 0.481], [-1.760, 4.337, -0.590]],
  "species": ["Si", "Si", "P", "Be"],
  "fractional_positions": [[0.000, 0.000, 0.000], [0.500, 0.500, 0.000], [0.000, 0.500, 0.500], [0.500, 0.000, 0.500]],
  "dos_ef_per_ev_cell": 1.29
}



Which structure is the most stable? The one labeled 2.



--- 1 ---
{
  "formula": "BeSi2P",
  "functional": "PBE",
  "state": "optimized geometry",
  "lattice": [[3.778, 0.005, -0.001], [2.073, 3.158, -0.001], [1.381, 0.747, 5.369]],
  "species": ["P", "Be", "Si", "Si"],
  "fractional_positions": [[0.328, 0.328, 0.340], [0.638, 0.638, 0.386], [0.628, 0.628, 0.796], [0.906, 0.906, 0.978]],
  "dos_ef_per_ev_cell": 0.47
}



--- 2 ---
{
  "formula": "BeSi2P",
  "functional": "PBE",
  "state": "optimized geometry",
  "lattice": [[3.526, 0.000, 0.000], [0.000, 2.850, 0.000], [0.000, 0.000, 6.124]],
  "species": ["Si", "Si", "P", "Be"],
  "fractional_positions": [[0.000, 0.000, 0.045], [0.500, 0.500, 0.204], [0.500, 0.500, 0.574], [0.000, 0.000, 0.677]],
  "dos_ef_per_ev_cell": 0.90
}



--- 3 ---
{
  "formula": "BeSi2P",
  "functional": "PBE",
  "state": "optimized geometry",
  "lattice": [[-3.577, -2.159, 0.247], [-3.589, 1.985, 0.837], [-2.906, 0.417, -2.983]],
  "species": ["Be", "P", "Si", "Si"],
  "fractional_positions": [[0.000, 0.000, 0.000], [0.500, 0.500, 0.500], [0.250, 0.250, 0.250], [0.750, 0.750, 0.750]],
  "dos_ef_per_ev_cell": 1.92
}



Which structure is the most stable? The one labeled 1.



--- 1 ---
{
  "formula": "BeSi2P",
  "functional": "PBE",
  "state": "optimized geometry",
  "lattice": [[2.554, -0.065, 0.000], [-0.217, 2.546, 0.000], [0.000, 0.000, 8.403]],
  "species": ["Si", "Si", "Be", "P"],
  "fractional_positions": [[0.500, 0.500, 0.287], [0.000, 0.000, 0.031], [0.000, 0.000, 0.494], [0.500, 0.500, 0.687]],
  "dos_ef_per_ev_cell": 0.82
}



--- 2 ---
{
  "formula": "BeSi2P",
  "functional": "PBE",
  "state": "optimized geometry",
  "lattice": [[-1.940, 3.247, -1.301], [-3.256, -2.220, -0.688], [-1.050, 0.595, 3.051]],
  "species": ["P", "Be", "Si", "Si"],
  "fractional_positions": [[0.000, 0.500, 0.500], [0.500, 0.000, 0.500], [0.500, 0.500, 0.000], [0.000, 0.000, 0.000]],
  "dos_ef_per_ev_cell": 1.89
}



--- 3 ---
{
  "formula": "BeSi2P",
  "functional": "PBE",
  "state": "optimized geometry",
  "lattice": [[-3.702, -0.028, 1.982], [-3.120, -2.430, -1.413], [-1.184, -3.383, 2.190]],
  "species": ["Si", "Si", "Be", "P"],
  "fractional_positions": [[0.000, 0.000, 0.000], [0.250, 0.250, 0.250], [0.500, 0.500, 0.500], [0.750, 0.750, 0.750]],
  "dos_ef_per_ev_cell": 1.27
}



Which structure is the most stable? The one labeled 1.



--- 1 ---
{
  "formula": "BeSi2P",
  "functional": "PBE",
  "state": "optimized geometry",
  "lattice": [[2.494, 0.009, 0.000], [-0.009, 2.494, 0.000], [0.000, 0.000, 8.515]],
  "species": ["Si", "Si", "Be", "P"],
  "fractional_positions": [[0.000, 0.000, 0.457], [0.000, 0.000, 0.043], [0.500, 0.500, 0.250], [0.500, 0.500, 0.750]],
  "dos_ef_per_ev_cell": 1.13
}



--- 2 ---
{
  "formula": "BeSi2P",
  "functional": "PBE",
  "state": "optimized geometry",
  "lattice": [[-0.498, 1.871, 1.666], [-3.411, 0.559, -1.648], [-2.179, -3.528, 3.313]],
  "species": ["Be", "Si", "Si", "P"],
  "fractional_positions": [[0.500, 0.500, 0.250], [0.000, 0.000, 0.485], [0.000, 0.000, 0.015], [0.500, 0.500, 0.750]],
  "dos_ef_per_ev_cell": 0.89
}



--- 3 ---
{
  "formula": "BeSi2P",
  "functional": "PBE",
  "state": "optimized geometry",
  "lattice": [[-0.812, -2.673, -1.984], [1.984, 0.445, -1.412], [3.449, -3.766, 3.661]],
  "species": ["Be", "Si", "Si", "P"],
  "fractional_positions": [[0.500, 0.250, 0.250], [0.000, 0.750, 0.461], [0.000, 0.750, 0.039], [0.500, 0.750, 0.750]],
  "dos_ef_per_ev_cell": 1.48
}



--- 4 ---
{
  "formula": "BeSi2P",
  "functional": "PBE",
  "state": "optimized geometry",
  "lattice": [[4.349, 0.027, 0.000], [0.755, 4.283, 0.000], [-2.552, -2.155, 2.786]],
  "species": ["P", "Si", "Si", "Be"],
  "fractional_positions": [[0.750, 0.250, 0.500], [0.000, 0.000, 0.000], [0.250, 0.750, 0.500], [0.500, 0.500, 0.000]],
  "dos_ef_per_ev_cell": 1.44
}



Which structure is the most stable? The one labeled 3.



--- 1 ---
{
  "formula": "BeSiP",
  "functional": "PBE",
  "state": "optimized geometry",
  "lattice": [[-1.237, 3.161, 1.470], [-3.892, -3.532, 0.612], [3.534, -1.969, 3.443]],
  "species": ["P", "P", "Si", "Si", "Be", "Be"],
  "fractional_positions": [[0.694, 0.919, 0.053], [0.325, 0.521, 0.366], [0.429, 0.265, 0.680], [0.737, 0.978, 0.507], [0.727, 0.534, 0.120], [0.271, 0.130, 0.045]],
  "dos_ef_per_ev_cell": 0.01
}



--- 2 ---
{
  "formula": "BeSiP",
  "functional": "PBE",
  "state": "optimized geometry",
  "lattice": [[3.716, 0.000, 0.000], [1.788, 3.258, 0.000], [0.980, 0.577, 7.983]],
  "species": ["P", "P", "Si", "Si", "Be", "Be"],
  "fractional_positions": [[0.330, 0.930, 0.707], [0.685, 0.457, 0.036], [0.734, 0.415, 0.318], [0.380, 0.060, 0.424], [0.975, 0.590, 0.764], [0.366, 0.122, 0.980]],
  "dos_ef_per_ev_cell": 0.27
}



--- 3 ---
{
  "formula": "BeSiP",
  "functional": "PBE",
  "state": "optimized geometry",
  "lattice": [[2.625, 0.000, 0.000], [-1.313, 2.273, 0.000], [0.000, 0.000, 7.174]],
  "species": ["Be", "P", "Si"],
  "fractional_positions": [[0.000, 0.000, 0.012], [0.667, 0.333, 0.253], [0.333, 0.667, 0.735]],
  "dos_ef_per_ev_cell": 2.39
}



Which structure is the most stable? The one labeled 2.



--- 1 ---
{
  "formula": "BeSiP",
  "functional": "PBE",
  "state": "optimized geometry",
  "lattice": [[-3.695, 3.623, -3.051], [-1.929, 1.541, -5.476], [1.489, -3.836, 4.377]],
  "species": ["Si", "Be", "P"],
  "fractional_positions": [[0.645, 0.645, 0.000], [0.997, 0.997, 0.000], [0.358, 0.358, 0.000]],
  "dos_ef_per_ev_cell": 0.84
}



--- 2 ---
{
  "formula": "BeSiP",
  "functional": "PBE",
  "state": "optimized geometry",
  "lattice": [[-1.024, 3.798, 1.479], [-2.847, -2.279, -2.088], [-0.745, -1.037, 2.148]],
  "species": ["P", "Si", "Be"],
  "fractional_positions": [[0.667, 0.333, 0.333], [0.333, 0.667, 0.334], [0.000, 0.000, 0.333]],
  "dos_ef_per_ev_cell": 1.22
}



Which structure is the most stable? The one labeled 2.



--- 1 ---
{
  "formula": "BeSiP",
  "functional": "PBE",
  "state": "optimized geometry",
  "lattice": [[-0.853, -2.539, -2.807], [-0.137, -3.795, 0.794], [-3.408, -1.854, 0.032]],
  "species": ["Si", "P", "Be"],
  "fractional_positions": [[0.500, 0.500, 0.500], [0.000, 0.000, 0.000], [0.750, 0.750, 0.750]],
  "dos_ef_per_ev_cell": 1.19
}



--- 2 ---
{
  "formula": "BeSiP",
  "functional": "PBE",
  "state": "optimized geometry",
  "lattice": [[-2.341, 1.054, 2.758], [3.926, -3.316, 2.027], [2.854, 4.367, -1.819]],
  "species": ["Be", "Be", "P", "P", "Si", "Si"],
  "fractional_positions": [[0.220, 0.052, 0.957], [0.222, 0.363, 0.649], [0.545, 0.836, 0.822], [0.546, 0.228, 0.432], [0.284, 0.768, 0.363], [0.541, 0.524, 0.122]]
}



--- 3 ---
{
  "formula": "BeSiP",
  "functional": "PBE",
  "state": "optimized geometry",
  "lattice": [[-5.494, 0.866, -1.047], [-5.314, 0.093, 1.620], [-0.455, 2.718, 0.385]],
  "species": ["P", "Be", "Si"],
  "fractional_positions": [[0.371, 0.371, 0.629], [0.992, 0.992, 0.008], [0.637, 0.637, 0.363]],
  "dos_ef_per_ev_cell": 0.59
}



Which structure is the most stable? The one labeled 2.